First-principles (PBE) data for VCuPd2Ru after structural relaxation, as listed in Alexandria.

Output
Its symmetry is No. 123. The value obtained for the magnetization is 0.00 μB/f.u. The energy of formation is 1.22 eV per atom.

a b c (Å): 4.457 4.306 4.457
angles (deg): 90.00 90.00 90.00
Positions (direct):
Pd1 0.000 0.000 0.500
Ru1 0.500 0.500 0.500
Cu1 0.000 0.000 0.000
V1 0.000 0.500 0.000
Pd2 0.500 0.000 0.000